VASP calculation (GGA-PBE) on a geometry-optimized EuHoCuRh structure.

symmetry: F-43m
formation enthalpy at 0 K: -0.3916 eV/atom
ρ: 9.44 g cm⁻³

Structure (POSCAR):
```
EuHoCuRh
1.0
-3.5732 -3.3690 -0.5011
-0.9582 -1.9404 -4.4368
1.1586 -4.7059 -0.9383
Eu Rh Ho Cu
1 1 1 1
Direct
0.7500 0.7500 0.7500 Eu
0.5000 0.5000 0.5000 Rh
0.2500 0.2500 0.2500 Ho
0.0000 0.0000 0.0000 Cu
```



VASP calculation (GGA-PBE) on a geometry-optimized Pa2CoRe structure.

symmetry: R-3m
formation enthalpy at 0 K: 0.4776 eV/atom
ρ: 15.13 g cm⁻³
energy above the most stable polymorph in this dataset: 0.544 eV/atom

Structure (POSCAR):
```
Pa2CoRe
1.0
3.0855 0.0000 0.0000
1.5427 2.6721 0.0000
1.5427 0.8907 9.4149
Re Pa Co
1 2 1
Direct
0.0000 0.0000 0.0000 Re
0.0906 0.0906 0.7281 Pa
0.9094 0.9094 0.2719 Pa
0.5000 0.5000 0.5000 Co
```



VASP calculation (GGA-PBE) on a geometry-optimized As4Ir structure.

symmetry: Pm-3m
formation enthalpy at 0 K: 0.6936 eV/atom
ρ: 7.20 g cm⁻³
energy above the most stable polymorph in this dataset: 0.667 eV/atom

Structure (POSCAR):
```
As4Ir
1.0
-2.4366 2.9326 2.9843
-2.8759 -3.6822 1.2703
3.0390 -1.1333 3.5949
As Ir
4 1
Direct
0.0000 0.0000 0.0000 As
0.5000 0.0000 0.5000 As
0.0000 0.5000 0.5000 As
0.5000 0.5000 0.0000 As
0.5000 0.5000 0.5000 Ir
```



VASP calculation (GGA-PBE) on a geometry-optimized Al3NF structure.

symmetry: Pm-3m
ρ: 2.60 g cm⁻³
energy above the most stable polymorph in this dataset: 0.000 eV/atom
ΔE_f (raw): 0.0125 eV per atom

Structure (POSCAR):
```
Al3NF
1.0
-1.3744 3.6573 1.4790
0.0128 -1.5620 3.8746
3.9450 1.2792 0.5027
N Al F
1 3 1
Direct
0.0000 0.0000 0.0000 N
0.0000 0.5000 0.0000 Al
0.0000 0.0000 0.5000 Al
0.5000 0.0000 0.0000 Al
0.5000 0.5000 0.5000 F
```



Question: Which value of ρ does entry 1 give?
Answer: 9.44 g cm⁻³